Run 1
A plane-wave DFT calculation with PBE was carried out for a relaxed structure of TiAgTe4.

Calculated values
Fermi-level density of states ... 3.21 states/eV/f.u.
Total magnetization ... 0.00 μB/atom

a = 5.6196 Å, b = 8.9456 Å, c = 8.9452 Å
α = 119.72°, β = 88.83°, γ = 88.81°
Closest atoms and distances in Å follow each position.
Atoms (fractional coordinates):
Ag (0.2500, 0.5036, 0.4965)  2 Ag 2.81, 4 Te 2.89
Te (0.9748, 0.0511, 0.7497)  2 Ti 2.86-2.88, 1 Te 3.03
Te (0.4934, 0.8248, 0.6646)  2 Ti 2.86-3.06, 2 Ag 2.89
Te (0.9933, 0.6645, 0.8248)  2 Ti 2.86-3.07, 2 Ag 2.89
Te (0.5066, 0.1752, 0.3354)  2 Ti 2.86-3.06, 2 Ag 2.89
Ag (0.7500, 0.4964, 0.5035)  2 Ag 2.81, 4 Te 2.89
Te (0.5254, 0.2503, 0.9488)  2 Ti 2.86-2.88, 1 Te 3.03
Ti (0.7500, 0.9937, 0.0062)  2 Ti 2.82, 8 Te 2.86-3.07
Te (0.4746, 0.7497, 0.0512)  2 Ti 2.86-2.88, 1 Te 3.03
Te (0.0252, 0.9489, 0.2503)  2 Ti 2.86-2.88, 1 Te 3.03
Te (0.0066, 0.3355, 0.1752)  2 Ti 2.86-3.07, 2 Ag 2.89
Ti (0.2500, 0.0063, 0.9938)  2 Ti 2.82, 8 Te 2.86-3.07



Run 2
A plane-wave DFT calculation with PBE was carried out for a relaxed structure of TiAgTe4.

Calculated values
Fermi-level density of states ... 3.24 states/eV/f.u.
Total magnetization ... 0.00 μB/atom

a = 3.9028 Å, b = 7.2410 Å, c = 7.4756 Å
α = 121.49°, β = 90.00°, γ = 105.63°
Closest atoms and distances in Å follow each position.
Atoms (fractional coordinates):
Te (0.6211, 0.2423, 0.9383)  1 Ag 2.75, 2 Ti 2.78
Ti (0.0000, 0.0000, 0.0000)  6 Te 2.78-2.79
Ag (0.5000, 0.0000, 0.5000)  6 Te 2.75-3.07
Te (0.3789, 0.7577, 0.0617)  1 Ag 2.75, 2 Ti 2.78
Te (0.1512, 0.3023, 0.4417)  1 Ti 2.79, 2 Ag 3.07, 2 Te 3.09
Te (0.8488, 0.6977, 0.5583)  1 Ti 2.79, 2 Ag 3.07, 2 Te 3.09



On energetic grounds, run 2 is preferred over the next structure by 28 meV per atom.



Run 1
A plane-wave DFT calculation with PBE was carried out for a relaxed structure of Tl2Ag2Te.

Calculated values
Fermi-level density of states ... 2.45 states/eV/f.u.
Total magnetization ... 0.00 μB/atom

a = 3.9502 Å, b = 3.9502 Å, c = 9.4252 Å
α = 77.90°, β = 77.90°, γ = 90.00°
Closest atoms and distances in Å follow each position.
Atoms (fractional coordinates):
Te (0.0000, 0.0000, 0.0000)  8 Tl 3.35
Tl (0.6028, 0.6028, 0.7944)  4 Ag 3.31, 4 Te 3.35
Ag (0.7500, 0.2500, 0.5000)  4 Ag 2.79
Ag (0.2500, 0.7500, 0.5000)  4 Ag 2.79
Tl (0.3972, 0.3972, 0.2056)  4 Ag 3.31, 4 Te 3.35



Run 2
A plane-wave DFT calculation with PBE was carried out for a relaxed structure of Tl2Ag2Te.

Calculated values
Fermi-level density of states ... 2.11 states/eV/f.u.
Total magnetization ... 0.00 μB/atom

a = 4.4834 Å, b = 4.4834 Å, c = 7.3927 Å
α = 72.35°, β = 72.35°, γ = 90.00°
Closest atoms and distances in Å follow each position.
Atoms (fractional coordinates):
Ag (0.5999, 0.5999, 0.8002)  1 Ag 2.67
Ag (0.4001, 0.4001, 0.1998)  1 Ag 2.67
Te (0.0000, 0.0000, 0.0000)  8 Ag 3.44
Tl (0.2500, 0.7500, 0.5000)  4 Ag 3.01, 4 Tl 3.17
Tl (0.7500, 0.2500, 0.5000)  4 Ag 3.01, 4 Tl 3.17



Run 3
A plane-wave DFT calculation with PBE was carried out for a relaxed structure of Tl2Ag2Te.

Calculated values
Fermi-level density of states ... 2.06 states/eV/f.u.
Total magnetization ... 0.00 μB/atom

a = 9.0519 Å, b = 9.0519 Å, c = 3.1703 Å
α = 90.00°, β = 90.00°, γ = 90.00°
Closest atoms and distances in Å follow each position.
Atoms (fractional coordinates):
Tl (0.6894, 0.1894, 0.0000)  6 Ag 3.04-3.21, 2 Tl 3.17, 2 Te 3.29
Tl (0.1894, 0.3106, 0.0000)  6 Ag 3.04-3.21, 2 Tl 3.17, 2 Te 3.29
Ag (0.6080, 0.8920, 0.5000)  1 Ag 2.76, 2 Tl 3.04
Tl (0.8106, 0.6894, 0.0000)  6 Ag 3.04-3.21, 2 Tl 3.17, 2 Te 3.29
Tl (0.3106, 0.8106, 0.0000)  6 Ag 3.04-3.21, 2 Tl 3.17, 2 Te 3.29
Te (0.0000, 0.0000, 0.0000)  2 Te 3.17, 4 Tl 3.29
Ag (0.1080, 0.6080, 0.5000)  1 Ag 2.76, 2 Tl 3.04
Ag (0.3920, 0.1080, 0.5000)  1 Ag 2.76, 2 Tl 3.04
Te (0.5000, 0.5000, 0.0000)  2 Te 3.17, 4 Tl 3.29
Ag (0.8920, 0.3920, 0.5000)  1 Ag 2.76, 2 Tl 3.04



Run 4
A plane-wave DFT calculation with PBE was carried out for a relaxed structure of Tl2Ag2Te.

Calculated values
Fermi-level density of states ... 1.02 states/eV/f.u.
Total magnetization ... 0.00 μB/atom

a = 7.5867 Å, b = 7.5867 Å, c = 4.6171 Å
α = 90.00°, β = 90.00°, γ = 90.00°
Closest atoms and distances in Å follow each position.
Atoms (fractional coordinates):
Tl (0.1683, 0.6683, 0.5000)  6 Ag 3.15-3.25
Ag (0.3686, 0.8686, 0.0000)  1 Ag 2.82, 2 Te 2.97, 2 Tl 3.15
Ag (0.6314, 0.1314, 0.0000)  1 Ag 2.82, 2 Te 2.97, 2 Tl 3.15
Ag (0.8686, 0.6314, 0.0000)  1 Ag 2.82, 2 Te 2.97, 2 Tl 3.15
Te (0.0000, 0.0000, 0.0000)  4 Ag 2.97
Tl (0.6683, 0.8317, 0.5000)  6 Ag 3.15-3.25
Tl (0.3317, 0.1683, 0.5000)  6 Ag 3.15-3.25
Tl (0.8317, 0.3317, 0.5000)  6 Ag 3.15-3.25
Ag (0.1314, 0.3686, 0.0000)  1 Ag 2.82, 2 Te 2.97, 2 Tl 3.15
Te (0.5000, 0.5000, 0.0000)  4 Ag 2.97



On energetic grounds, run 4 is preferred over the next structure by 93 meV per atom.